Density functional theory data (PBE with a Hubbard U) for crystalline Ni3SeF at its relaxed geometry.

a = 4.4668 Å, b = 4.4668 Å, c = 4.4668 Å
α = 90.00°, β = 90.00°, γ = 90.00°
Last column: nearest neighbours and their distance in Å.
Element x y z (fractional)
Ni: 0.0000 0.5000 0.0000  2 Se 2.23
Ni: 0.0000 0.0000 0.5000  2 Se 2.23
Ni: 0.5000 0.0000 0.0000  2 Se 2.23
Se: 0.0000 0.0000 0.0000  6 Ni 2.23
F: 0.5000 0.5000 0.5000  12 Ni 3.16

Results
Fermi-level density of states (states/eV/f.u.): 0.9
Offset from the most stable computed form (meV per atom): 699.9